No. 1
The following is a DFT calculation (PBE) of a geometry-optimized La3Pm2Nd2 structure.

Symmetry = C2/m
Energy above the most stable polymorph in this dataset = 75 meV/atom

abc: 9.1447 9.1447 8.8619
angles: 117.85 117.85 22.66
Closest atoms and distances in Å follow each position.
Element x y z (fractional)
La 0.0000 0.0000 0.0000  4 La 3.48-3.59, 2 Nd 3.59, 4 Pm 3.69
La 0.2138 0.2138 0.3014  5 La 3.48-3.60, 3 Pm 3.58-3.71, 3 Nd 3.70-3.76
La 0.7862 0.7862 0.6986  5 La 3.48-3.60, 3 Pm 3.58-3.71, 3 Nd 3.70-3.76
Pm 0.4364 0.4364 0.5934  3 Pm 3.40-3.59, 5 La 3.58-3.71, 4 Nd 3.77
Pm 0.5636 0.5636 0.4066  3 Pm 3.40-3.59, 5 La 3.58-3.71, 4 Nd 3.77
Nd 0.1460 0.1460 0.8298  4 La 3.59-3.76, 4 Nd 3.59-3.94, 4 Pm 3.77
Nd 0.8540 0.8540 0.1702  4 La 3.59-3.76, 4 Nd 3.59-3.94, 4 Pm 3.77

***

No. 2
The following is a DFT calculation (PBE) of a geometry-optimized La3Pm2Nd8 structure.

Symmetry = C2/m
Energy above the most stable polymorph in this dataset = 73 meV/atom

abc: 11.1659 11.1659 5.8260
angles: 90.10 90.10 40.90
Closest atoms and distances in Å follow each position.
Element x y z (fractional)
La 0.0000 0.0000 0.0000  4 Nd 3.20
La 0.2933 0.7067 0.5000  1 La 3.23
La 0.7067 0.2933 0.5000  1 La 3.23
Pm 0.2417 0.2417 0.9962  8 Nd 3.40-3.68
Pm 0.7583 0.7583 0.0038  8 Nd 3.40-3.68
Nd 0.1350 0.1350 0.4985  4 La 3.64-4.07, 2 Pm 3.66-3.68, 7 Nd 3.73-3.99
Nd 0.1844 0.6008 0.9994  1 La 3.20, 1 Nd 3.25, 1 Pm 3.55
Nd 0.3259 0.3259 0.4972  2 Pm 3.40-3.41, 4 Nd 3.61-3.62
Nd 0.3992 0.8156 0.0006  1 La 3.20, 1 Nd 3.25, 1 Pm 3.55
Nd 0.6008 0.1844 0.9994  1 La 3.20, 1 Nd 3.25, 1 Pm 3.55
Nd 0.6741 0.6741 0.5028  2 Pm 3.40-3.41, 4 Nd 3.61-3.62
Nd 0.8156 0.3992 0.0006  1 La 3.20, 1 Nd 3.25, 1 Pm 3.55
Nd 0.8650 0.8650 0.5015  4 La 3.64-4.07, 2 Pm 3.66-3.68, 7 Nd 3.73-3.99

***

No. 3
The following is a DFT calculation (PBE) of a geometry-optimized La12Pm2Nd5 structure.

Symmetry = C2/m
Energy above the most stable polymorph in this dataset = 67 meV/atom

abc: 10.5595 10.5595 10.2423
angles: 114.46 114.46 42.41
Closest atoms and distances in Å follow each position.
Element x y z (fractional)
La 0.0090 0.0090 0.2155  1 Nd 3.00, 2 Pm 3.13
La 0.0663 0.5999 0.5016  5 La 3.27-3.65
La 0.0914 0.5920 0.1530  6 La 3.58-3.82, 4 Nd 3.66-3.93
La 0.4001 0.9337 0.4984  5 La 3.27-3.65
La 0.4080 0.9086 0.8470  6 La 3.58-3.82, 4 Nd 3.66-3.93
La 0.4881 0.4881 0.6471  5 La 3.25-3.60
La 0.5119 0.5119 0.3529  5 La 3.25-3.60
La 0.5920 0.0914 0.1530  6 La 3.58-3.82, 4 Nd 3.66-3.93
La 0.5999 0.0663 0.5016  5 La 3.27-3.65
La 0.9086 0.4080 0.8470  6 La 3.58-3.82, 4 Nd 3.66-3.93
La 0.9337 0.4001 0.4984  5 La 3.27-3.65
La 0.9910 0.9910 0.7845  1 Nd 3.00, 2 Pm 3.13
Pm 0.2999 0.7001 0.0000  1 Pm 3.06, 2 La 3.13
Pm 0.7001 0.2999 0.0000  1 Pm 3.06, 2 La 3.13
Nd 0.0000 0.0000 0.5000  2 La 3.00
Nd 0.1760 0.1760 0.1653  7 La 3.55-3.92, 2 Nd 3.83, 2 Pm 3.86
Nd 0.3212 0.3212 0.8022  2 Pm 3.54, 8 La 3.70-3.93, 2 Nd 3.83
Nd 0.6788 0.6788 0.1978  2 Pm 3.54, 8 La 3.70-3.93, 2 Nd 3.83
Nd 0.8240 0.8240 0.8347  7 La 3.55-3.92, 2 Nd 3.83, 2 Pm 3.86

***

No. 4
The following is a DFT calculation (PBE) of a geometry-optimized La5Pm5Nd2 structure.

Symmetry = C2/m
Energy above the most stable polymorph in this dataset = 54 meV/atom

abc: 6.7262 6.7262 12.6143
angles: 106.50 106.50 52.01
Closest atoms and distances in Å follow each position.
Element x y z (fractional)
La 0.0000 0.0000 0.0000  2 La 3.49, 6 Pm 3.68-3.89
La 0.1912 0.1912 0.4651  3 La 3.27-3.37, 2 Nd 3.36-3.65, 1 Pm 3.62
La 0.2579 0.2579 0.2253  2 La 3.37-3.49, 2 Nd 3.46, 5 Pm 3.49-3.76
La 0.7421 0.7421 0.7747  2 La 3.37-3.49, 2 Nd 3.46, 5 Pm 3.49-3.76
La 0.8088 0.8088 0.5349  3 La 3.27-3.37, 2 Nd 3.36-3.65, 1 Pm 3.62
Pm 0.3102 0.3102 0.9688  3 Pm 3.42-3.49, 5 La 3.49-3.75, 1 Nd 3.57
Pm 0.4313 0.4313 0.7576  2 Pm 3.42-3.60, 2 Nd 3.66, 3 La 3.70-3.78
Pm 0.5000 0.5000 0.5000  2 Pm 3.60, 8 La 3.62-3.86, 4 Nd 3.85
Pm 0.5687 0.5687 0.2424  2 Pm 3.42-3.60, 2 Nd 3.66, 3 La 3.70-3.78
Pm 0.6898 0.6898 0.0312  3 Pm 3.42-3.49, 5 La 3.49-3.75, 1 Nd 3.57
Nd 0.0853 0.0853 0.7057  4 La 3.36-3.65, 3 Pm 3.57-3.66
Nd 0.9147 0.9147 0.2943  4 La 3.36-3.65, 3 Pm 3.57-3.66

***

No. 5
The following is a DFT calculation (PBE) of a geometry-optimized LaPm2Nd12 structure.

Symmetry = Cmme

abc: 6.8857 6.8857 25.3538
angles: 90.00 90.00 116.57
Closest atoms and distances in Å follow each position.
Element x y z (fractional)
La 0.2500 0.7500 0.9977  8 Nd 3.51-3.85, 2 La 3.62
La 0.7500 0.2500 0.0023  8 Nd 3.51-3.85, 2 La 3.62
Pm 0.2500 0.7500 0.2687  2 Pm 3.62, 10 Nd 3.75-3.93
Pm 0.2500 0.7500 0.7252  2 Pm 3.62, 10 Nd 3.69-4.05
Pm 0.7500 0.2500 0.2748  2 Pm 3.62, 10 Nd 3.69-4.05
Pm 0.7500 0.2500 0.7313  2 Pm 3.62, 10 Nd 3.75-3.93
Nd 0.0028 0.5028 0.8687  8 Nd 3.42-3.74, 1 La 3.73
Nd 0.0043 0.9957 0.0767  2 La 3.51-3.53, 9 Nd 3.62-3.89
Nd 0.0209 0.5209 0.4180  5 Nd 3.32-3.67
Nd 0.0251 0.9749 0.5594  5 Nd 3.07-3.41
Nd 0.2500 0.2500 0.2007  3 Nd 3.21-3.42
Nd 0.2500 0.2500 0.3273  3 Nd 3.21-3.41
Nd 0.2500 0.2500 0.6727  3 Nd 3.21-3.41
Nd 0.2500 0.2500 0.7993  3 Nd 3.21-3.42
Nd 0.4749 0.5251 0.5594  5 Nd 3.07-3.41
Nd 0.4791 0.9791 0.4180  5 Nd 3.32-3.67
Nd 0.4957 0.5043 0.0767  2 La 3.51-3.53, 9 Nd 3.62-3.89
Nd 0.4972 0.9972 0.8687  8 Nd 3.42-3.74, 1 La 3.73
Nd 0.5028 0.0028 0.1313  8 Nd 3.42-3.74, 1 La 3.73
Nd 0.5043 0.4957 0.9233  2 La 3.51-3.53, 9 Nd 3.62-3.89
Nd 0.5209 0.0209 0.5820  5 Nd 3.32-3.67
Nd 0.5251 0.4749 0.4406  5 Nd 3.07-3.41
Nd 0.7500 0.7500 0.2007  3 Nd 3.21-3.42
Nd 0.7500 0.7500 0.3273  3 Nd 3.21-3.41
Nd 0.7500 0.7500 0.6727  3 Nd 3.21-3.41
Nd 0.7500 0.7500 0.7993  3 Nd 3.21-3.42
Nd 0.9749 0.0251 0.4406  5 Nd 3.07-3.41
Nd 0.9791 0.4791 0.5820  5 Nd 3.32-3.67
Nd 0.9957 0.0043 0.9233  2 La 3.51-3.53, 9 Nd 3.62-3.89
Nd 0.9972 0.4972 0.1313  8 Nd 3.42-3.74, 1 La 3.73

***

No. 6
The following is a DFT calculation (PBE) of a geometry-optimized LaPm8Nd6 structure.

Symmetry = R-3
Energy above the most stable polymorph in this dataset = 5 meV/atom

abc: 8.7416 8.7416 8.7416
angles: 65.70 65.70 65.70
Closest atoms and distances in Å follow each position.
Element x y z (fractional)
La 0.0000 0.0000 0.0000  6 Nd 3.57, 6 Pm 3.95
Pm 0.0827 0.7720 0.6537  7 Pm 3.50-3.85, 3 Nd 3.53-3.75
Pm 0.2280 0.3463 0.9173  7 Pm 3.50-3.85, 3 Nd 3.53-3.75
Pm 0.3463 0.9173 0.2280  7 Pm 3.50-3.85, 3 Nd 3.53-3.75
Pm 0.4286 0.4286 0.4286  1 Pm 2.92, 3 Nd 3.26
Pm 0.5714 0.5714 0.5714  1 Pm 2.92, 3 Nd 3.26
Pm 0.6538 0.0827 0.7720  7 Pm 3.50-3.85, 3 Nd 3.53-3.75
Pm 0.7720 0.6538 0.0827  7 Pm 3.50-3.85, 3 Nd 3.53-3.75
Pm 0.9173 0.2280 0.3462  7 Pm 3.50-3.85, 3 Nd 3.53-3.75
Nd 0.1062 0.5556 0.2659  3 Pm 3.26-3.56, 1 La 3.57, 1 Nd 3.62
Nd 0.2659 0.1062 0.5556  3 Pm 3.26-3.56, 1 La 3.57, 1 Nd 3.62
Nd 0.4443 0.7341 0.8938  3 Pm 3.26-3.56, 1 La 3.57, 1 Nd 3.62
Nd 0.5556 0.2659 0.1062  3 Pm 3.26-3.56, 1 La 3.57, 1 Nd 3.62
Nd 0.7341 0.8938 0.4444  3 Pm 3.26-3.56, 1 La 3.57, 1 Nd 3.62
Nd 0.8938 0.4444 0.7341  3 Pm 3.26-3.56, 1 La 3.57, 1 Nd 3.62

***

No. 7
The following is a DFT calculation (PBE) of a geometry-optimized La6PmNd4 structure.

Symmetry = P-6m2

abc: 11.2729 11.2729 3.6737
angles: 90.00 90.00 120.00
Closest atoms and distances in Å follow each position.
Element x y z (fractional)
La 0.1842 0.3683 0.0000  4 Nd 3.38-3.44, 2 La 3.67
La 0.1842 0.8158 0.0000  4 Nd 3.38-3.44, 2 La 3.67
La 0.5328 0.0656 0.5000  5 Nd 3.59-3.89, 6 La 3.67-3.96
La 0.5328 0.4672 0.5000  5 Nd 3.59-3.89, 6 La 3.67-3.96
La 0.6317 0.8158 0.0000  4 Nd 3.38-3.44, 2 La 3.67
La 0.9344 0.4672 0.5000  5 Nd 3.59-3.89, 6 La 3.67-3.96
Pm 0.0000 0.0000 0.5000  6 Nd 3.61, 2 Pm 3.67, 6 La 4.04
Nd 0.3189 0.1595 0.0000  6 La 3.38-3.59, 2 Pm 3.61, 2 Nd 3.67
Nd 0.3333 0.6667 0.5000  6 La 3.44, 2 Nd 3.67
Nd 0.8405 0.1595 0.0000  6 La 3.38-3.59, 2 Pm 3.61, 2 Nd 3.67
Nd 0.8405 0.6811 0.0000  6 La 3.38-3.59, 2 Pm 3.61, 2 Nd 3.67

***

No. 8
The following is a DFT calculation (PBE) of a geometry-optimized La2Pm5Nd2 structure.

Symmetry = C2/m
Energy above the most stable polymorph in this dataset = 0 meV/atom

abc: 9.1957 9.1957 10.0957
angles: 98.30 98.30 22.28
Closest atoms and distances in Å follow each position.
Element x y z (fractional)
La 0.1633 0.1633 0.2229  7 Pm 3.43-3.67, 2 La 3.55, 2 Nd 3.73
La 0.8367 0.8367 0.7771  7 Pm 3.43-3.67, 2 La 3.55, 2 Nd 3.73
Pm 0.0000 0.0000 0.0000  2 La 3.43, 4 Pm 3.55-3.58, 4 Nd 3.64
Pm 0.1736 0.1736 0.8680  7 Pm 3.55-3.96, 3 La 3.62-3.67, 2 Nd 3.77
Pm 0.3304 0.3304 0.4610  2 Nd 3.53-3.60, 6 Pm 3.55-3.76, 3 La 3.57-3.64
Pm 0.6696 0.6696 0.5390  2 Nd 3.53-3.60, 6 Pm 3.55-3.76, 3 La 3.57-3.64
Pm 0.8264 0.8264 0.1320  7 Pm 3.55-3.96, 3 La 3.62-3.67, 2 Nd 3.77
Nd 0.4956 0.4956 0.3130  6 Pm 3.53-3.77, 3 Nd 3.55-3.76, 2 La 3.73
Nd 0.5044 0.5044 0.6870  6 Pm 3.53-3.77, 3 Nd 3.55-3.76, 2 La 3.73

***

No. 9
The following is a DFT calculation (PBE) of a geometry-optimized La6Pm2Nd3 structure.

Symmetry = I4/mmm
Energy above the most stable polymorph in this dataset = 231 meV/atom

abc: 17.8975 17.8975 17.8975
angles: 164.54 164.54 21.93
Closest atoms and distances in Å follow each position.
Element x y z (fractional)
La 0.1179 0.6179 0.5000  4 La 3.40, 2 Nd 3.50, 2 Pm 3.54
La 0.2109 0.2109 0.0000  5 Nd 3.48
La 0.3821 0.8821 0.5000  4 La 3.40, 2 Nd 3.50, 2 Pm 3.54
La 0.6179 0.1179 0.5000  4 La 3.40, 2 Nd 3.50, 2 Pm 3.54
La 0.7891 0.7891 0.0000  5 Nd 3.48
La 0.8821 0.3821 0.5000  4 La 3.40, 2 Nd 3.50, 2 Pm 3.54
Pm 0.0441 0.0441 0.0000  1 Pm 3.10
Pm 0.9559 0.9559 0.0000  1 Pm 3.10
Nd 0.3098 0.3098 0.0000  9 La 3.48-3.50
Nd 0.5000 0.5000 0.0000  8 Pm 3.74
Nd 0.6902 0.6902 0.0000  9 La 3.48-3.50

***

| no. | DFT formation energy (meV/atom) | D(E_F) (states/eV per atom) | calculated volume (Å³/f.u.) |
| --- | --- | --- | --- |
| 1 | 92.9 | 1.50 | 251.1 |
| 2 | 210.3 | 1.68 | 475.6 |
| 3 | 144.2 | 1.69 | 690.2 |
| 4 | 73.0 | 1.59 | 426.7 |
| 5 | 145.7 | 1.44 | 537.6 |
| 6 | 143.2 | 1.53 | 530.7 |
| 7 | 117.5 | 1.54 | 404.3 |
| 8 | 128.8 | 1.75 | 320.1 |
| 9 | 246.8 | 1.77 | 407.1 |